## WBr (PBE-GGA)

Data for a geometry-optimized WBr structure.

E_form (uncorrected)   355.4 meV per atom
Magnetic moment   0.0 μB per formula unit
DFT total energy   -83.49 eV per cell
Space group   Pmn2_1 (31)
Excess energy over the best structure of this formula in the dataset   273 meV/atom

Unit cell a=11.3989 b=3.2255 c=8.5228 alpha=90.00 beta=90.00 gamma=90.00
Element x y z (fractional)
W 0.0000 0.0504 0.0000
W 0.1026 0.4442 0.7853
W 0.3974 0.5558 0.2853
W 0.5000 0.9496 0.5000
W 0.6026 0.5558 0.2853
W 0.8974 0.4442 0.7853
Br 0.0000 0.4996 0.2457
Br 0.2131 0.9786 0.5859
Br 0.2869 0.0214 0.0859
Br 0.5000 0.5004 0.7457
Br 0.7131 0.0214 0.0859
Br 0.7869 0.9786 0.5859